This record from Alexandria describes a relaxed structure of SmMgGaIr. The functional is GGA-PBE.

E_form, eV per formula unit: -1.70
Mass density, g cm⁻³: 9.13

```
data_SmMgGaIr
_symmetry_space_group_name_H-M 'F -4 3 m'
_symmetry_Int_Tables_number 216
_symmetry_space_group_name_Hall 'F -4 2 3'
_cell_length_a 6.824
_cell_length_b 6.824
_cell_length_c 6.824
_cell_angle_alpha 90.00
_cell_angle_beta 90.00
_cell_angle_gamma 90.00
loop_
_atom_site_label
_atom_site_fract_x
_atom_site_fract_y
_atom_site_fract_z
Sm1 0.000 0.000 0.000
Mg1 0.000 0.000 0.500
Ga1 0.250 0.250 0.250
Ir1 0.250 0.250 0.750
```